# FeCu2BO5 | the Alexandria database | PBE+U | relaxed
data_FeCu2BO5
_chemical_formula_sum 'Fe4 Cu8 B4 O20'
_cell_length_a 3.127
_cell_length_b 12.179
_cell_length_c 9.854
_cell_angle_alpha 90.00
_cell_angle_beta 99.64
_cell_angle_gamma 90.00
_space_group_name_H-M_alt 'P 1 21/c 1'
_space_group_IT_number 14
_space_group_name_Hall '-P 2ybc'
loop_
_atom_site_label
_atom_site_fract_x
_atom_site_fract_y
_atom_site_fract_z
Fe1 0.094 0.121 0.229
Cu1 0.000 0.000 0.500
Cu2 0.420 0.725 0.018
Cu3 0.500 0.000 0.000
B1 0.047 0.129 0.759
O1 0.035 0.036 0.840
O2 0.088 0.623 0.882
O3 0.184 0.228 0.815
O4 0.340 0.594 0.136
O5 0.470 0.646 0.407
# Total DFT energy (no corrections) in hartree per atom: -0.23264
# Density of states at the Fermi level in states/eV/cell: 3.398
# Volume in A^3/atom: 10.28